Computed, not measured: crystalline AgGeF2 at its relaxed geometry at the PBE level of DFT.

Cell and atoms, written as POSCAR:
```
AgGeF2
1.0
-7.769 -0.553 0.864
-7.124 1.785 2.732
-7.493 2.278 -0.267
Ge Ag F
1 1 2
Cartesian
0.000 0.000 0.000
-11.193 1.755 1.665
-20.370 3.194 3.029
-2.016 0.316 0.300
```

## Properties
distance to the lowest polymorph of the same formula: 0 meV/atom
V: 15.49 A^3/atom
formation energy from raw total energies: -107.4 kJ per mole of atoms
M_tot: 0.00 μB/f.u.
space-group type: R-3m (166)

Computed, not measured: crystalline Ag3GeF9 at its relaxed geometry at the PBE level of DFT.

Cell and atoms, written as POSCAR:
```
Ag3GeF9
1.0
5.810 0.000 2.445
3.397 6.499 0.054
-1.256 -2.998 11.110
Ag Ge F
6 2 18
Cartesian
6.906 1.716 10.028
4.362 -0.035 3.826
3.637 3.577 9.673
1.090 1.827 3.470
4.100 -0.603 10.044
3.898 4.145 3.453
0.465 0.272 11.081
2.301 -1.478 6.722
2.687 -0.458 5.235
1.259 1.293 9.765
1.833 -0.913 10.992
4.806 3.836 5.736
0.735 -0.522 7.010
2.610 4.227 1.293
6.163 4.455 2.505
3.194 -0.293 7.762
7.264 4.064 6.488
5.386 -0.685 12.204
5.312 4.002 8.264
6.736 2.251 3.732
3.660 1.979 3.503
7.627 3.730 10.304
4.338 1.562 9.993
0.372 -0.189 3.193
-1.231 -2.978 11.055
1.092 1.770 5.526
```

## Properties
V: 15.98 A^3/atom
formation energy from raw total energies: -155.5 kJ per mole of atoms
M_tot: 0.00 μB/f.u.
space-group type: C2/c (15)

Question: Which of these has the highest V?
Answer: Ag3GeF9

Question: Which of these has the highest V?
Answer: Ag3GeF9

Question: Which value of V does entry 2 give?
Answer: 15.98 A^3/atom